Compound: BaCaMg2Ru
Source: the Alexandria database
Functional: PBE-GGA
Structure: relaxed

Properties
Energy, eV per formula unit: -16.081
Crystal system: tetragonal
V, Å³/atom: 30.08

Lattice parameters (Å, degrees): 5.299 5.299 5.356 90.00 90.00 90.00
Space group P4/mmm (No. 123)
Asymmetric unit:
1 Ba 0.000 0.000 0.000 [1 per cell]
2 Ca 0.500 0.500 0.000 [1 per cell]
3 Mg 0.000 0.500 0.500 [2 per cell]
4 Ru 0.500 0.500 0.500 [1 per cell]

---

Compound: Ba2CaMgSe
Source: the Alexandria database
Functional: PBE-GGA
Structure: relaxed

Properties
Formation energy (no corrections), kcal/mol of atoms: -15.2
Crystal system: tetragonal
V, Å³/atom: 45.62

Lattice parameters (Å, degrees): 6.410 6.410 5.552 90.00 90.00 90.00
Space group P4/mmm (No. 123)
Asymmetric unit:
1 Ba 0.000 0.500 0.000 [2 per cell]
2 Ca 0.000 0.000 0.500 [1 per cell]
3 Mg 0.500 0.500 0.500 [1 per cell]
4 Se 0.000 0.000 0.000 [1 per cell]

---

Compound: BaCaMg2Si2
Source: the Alexandria database
Functional: PBE-GGA
Structure: relaxed

Properties
Formation energy (no corrections), kcal/mol of atoms: -8.2
Crystal system: trigonal
V, Å³/atom: 26.19

Lattice parameters (Å, degrees): 4.7253 4.7253 8.1251 90.00 90.00 120.00
Space group P-3m1 (No. 164)
Asymmetric unit:
1 Ba 0.0000 0.0000 0.0000 [1 per cell]
2 Ca 0.0000 0.0000 0.5000 [1 per cell]
3 Mg 0.3333 0.6667 0.6805 [2 per cell]
4 Si 0.3333 0.6667 0.2876 [2 per cell]

---

Compound: BaCaSmMg
Source: the Alexandria database
Functional: PBE-GGA
Structure: relaxed

Properties
Energy, eV per formula unit: -9.743
Crystal system: cubic
V, Å³/atom: 38.08

Lattice parameters (Å, degrees): 8.478 8.478 8.478 90.00 90.00 90.00
Space group F-43m (No. 216)
Asymmetric unit:
1 Ba 0.000 0.000 0.000 [4 per cell]
2 Ca 0.250 0.250 0.250 [4 per cell]
3 Sm 0.000 0.000 0.500 [4 per cell]
4 Mg 0.250 0.250 0.750 [4 per cell]

---

Compound: Ba2CaMg3Sn4
Source: the Alexandria database
Functional: PBE-GGA
Structure: relaxed

Properties
Energy, eV per formula unit: -31.783
Crystal system: tetragonal
V, Å³/atom: 31.33

Lattice parameters (Å, degrees): 4.990 4.990 12.580 90.00 90.00 90.00
Space group P-4m2 (No. 115)
Asymmetric unit:
1 Ba 0.000 0.500 0.239 [2 per cell]
2 Ca 0.000 0.000 0.500 [1 per cell]
3 Mg 0.000 0.500 0.869 [2 per cell]
4 Mg 0.500 0.500 0.500 [1 per cell]
5 Sn 0.000 0.000 0.000 [1 per cell]
6 Sn 0.000 0.500 0.645 [2 per cell]
7 Sn 0.500 0.500 0.000 [1 per cell]

---

Compound: BaCaMgSn2
Source: the Alexandria database
Functional: PBE-GGA
Structure: relaxed

Properties
Energy, eV per formula unit: -16.205
Crystal system: tetragonal
V, Å³/atom: 33.36

Lattice parameters (Å, degrees): 5.059 5.059 13.036 90.00 90.00 90.00
Space group I-4m2 (No. 119)
Asymmetric unit:
1 Ba 0.000 0.000 0.000 [2 per cell]
2 Ca 0.000 0.500 0.250 [2 per cell]
3 Mg 0.000 0.500 0.750 [2 per cell]
4 Sn 0.000 0.000 0.388 [4 per cell]

---

Compound: BaSrCaMg
Source: the Alexandria database
Functional: PBE-GGA
Structure: relaxed

Properties
Energy, eV per formula unit: -7.254
Crystal system: tetragonal
V, Å³/atom: 44.77

Lattice parameters (Å, degrees): 4.232 4.232 9.998 90.00 90.00 90.00
Space group P4mm (No. 99)
Asymmetric unit:
1 Ba 0.000 0.000 0.000 [1 per cell]
2 Sr 0.000 0.000 0.427 [1 per cell]
3 Ca 0.500 0.500 0.701 [1 per cell]
4 Mg 0.500 0.500 0.226 [1 per cell]

---

Compound: BaCa2MgTa
Source: the Alexandria database
Functional: PBE-GGA
Structure: relaxed

Properties
Energy, eV per formula unit: -9.706
Crystal system: tetragonal
V, Å³/atom: 34.25

Lattice parameters (Å, degrees): 5.573 5.573 5.514 90.00 90.00 90.00
Space group P4/mmm (No. 123)
Asymmetric unit:
1 Ba 0.000 0.000 0.000 [1 per cell]
2 Ca 0.000 0.500 0.000 [2 per cell]
3 Mg 0.000 0.000 0.500 [1 per cell]
4 Ta 0.500 0.500 0.500 [1 per cell]

---

Compound: BaCa2MgTe4
Source: the Alexandria database
Functional: PBE-GGA
Structure: relaxed

Properties
Formation energy (no corrections), kcal/mol of atoms: -33.4
Crystal system: orthorhombic
V, Å³/atom: 35.26

Lattice parameters (Å, degrees): 4.605 15.483 15.825 90.00 90.00 90.00
Space group Cmcm (No. 63)
Asymmetric unit:
1 Ba 0.000 0.124 0.250 [4 per cell]
2 Ca 0.000 0.373 0.054 [8 per cell]
3 Mg 0.000 0.151 0.750 [4 per cell]
4 Te 0.000 0.000 0.000 [4 per cell]
5 Te 0.000 0.264 0.616 [8 per cell]
6 Te 0.000 0.451 0.250 [4 per cell]

---

Compound: BaCaMgTl
Source: the Alexandria database
Functional: PBE-GGA
Structure: relaxed

Properties
Energy, eV per formula unit: -8.845
Crystal system: cubic
V, Å³/atom: 34.87

Lattice parameters (Å, degrees): 8.233 8.233 8.233 90.00 90.00 90.00
Space group F-43m (No. 216)
Asymmetric unit:
1 Ba 0.000 0.000 0.000 [4 per cell]
2 Ca 0.000 0.000 0.500 [4 per cell]
3 Mg 0.250 0.250 0.250 [4 per cell]
4 Tl 0.250 0.250 0.750 [4 per cell]

---

Compound: BaCaMg2Tl2
Source: the Alexandria database
Functional: PBE-GGA
Structure: relaxed

Properties
Energy, eV per formula unit: -13.591
Crystal system: trigonal
V, Å³/atom: 31.65

Lattice parameters (Å, degrees): 5.1350 5.1350 8.3156 90.00 90.00 120.00
Space group P-3m1 (No. 164)
Asymmetric unit:
1 Ba 0.0000 0.0000 0.0000 [1 per cell]
2 Ca 0.0000 0.0000 0.5000 [1 per cell]
3 Mg 0.3333 0.6667 0.6921 [2 per cell]
4 Tl 0.3333 0.6667 0.2882 [2 per cell]

---

Compound: BaCaMg2Tl
Source: the Alexandria database
Functional: PBE-GGA
Structure: relaxed

Properties
Energy, eV per formula unit: -6.301
Crystal system: tetragonal
V, Å³/atom: 47.58

Lattice parameters (Å, degrees): 5.937 5.937 6.750 90.00 90.00 90.00
Space group P4/mmm (No. 123)
Asymmetric unit:
1 Ba 0.000 0.000 0.000 [1 per cell]
2 Ca 0.000 0.000 0.500 [1 per cell]
3 Mg 0.000 0.500 0.500 [2 per cell]
4 Tl 0.500 0.500 0.000 [1 per cell]

---

Compound: Ba2CaMg12Tl3
Source: the Alexandria database
Functional: PBE-GGA
Structure: relaxed

Properties
Energy, eV per formula unit: -28.804
Crystal system: trigonal
V, Å³/atom: 33.25

Lattice parameters (Å, degrees): 8.8654 8.8654 26.3762 90.00 90.00 120.00
Space group R-3m (No. 166, hexagonal axes)
Asymmetric unit:
1 Ba 0.0000 0.0000 0.0818 [6 per cell]
2 Ca 0.0000 0.0000 0.5000 [3 per cell]
3 Mg 0.0882 0.5441 0.8660 [18 per cell]
4 Mg 0.1045 0.5522 0.2636 [18 per cell]
5 Tl 0.0000 0.5000 0.0000 [9 per cell]

---

Compound: BaCaMg2Tl4
Source: the Alexandria database
Functional: PBE-GGA
Structure: relaxed

Properties
Energy, eV per formula unit: -18.812
Crystal system: trigonal
V, Å³/atom: 30.14

Lattice parameters (Å, degrees): 5.1815 5.1815 31.1137 90.00 90.00 120.00
Space group R-3m (No. 166, hexagonal axes)
Asymmetric unit:
1 Ba 0.0000 0.0000 0.0000 [3 per cell]
2 Ca 0.0000 0.0000 0.5000 [3 per cell]
3 Mg 0.0000 0.0000 0.2366 [6 per cell]
4 Tl 0.0000 0.0000 0.1227 [6 per cell]
5 Tl 0.0000 0.0000 0.3943 [6 per cell]

---

Compound: Ba3Ca2Mg2Tl4
Source: the Alexandria database
Functional: PBE-GGA
Structure: relaxed

Properties
Energy, eV per formula unit: -24.947
Crystal system: trigonal
V, Å³/atom: 37.03

Lattice parameters (Å, degrees): 5.5036 5.5036 15.5295 90.00 90.00 120.00
Space group P-3m1 (No. 164)
Asymmetric unit:
1 Ba 0.0000 0.0000 0.0000 [1 per cell]
2 Ba 0.0000 0.0000 0.2657 [2 per cell]
3 Ca 0.3333 0.6667 0.5699 [2 per cell]
4 Mg 0.3333 0.6667 0.1513 [2 per cell]
5 Tl 0.3333 0.6667 0.3585 [2 per cell]
6 Tl 0.3333 0.6667 0.8637 [2 per cell]

---

Compound: BaCa2MgTl
Source: the Alexandria database
Functional: PBE-GGA
Structure: relaxed

Properties
Energy, eV per formula unit: -9.938
Crystal system: tetragonal
V, Å³/atom: 41.88

Lattice parameters (Å, degrees): 6.104 6.104 5.620 90.00 90.00 90.00
Space group P4/mmm (No. 123)
Asymmetric unit:
1 Ba 0.000 0.000 0.000 [1 per cell]
2 Ca 0.000 0.500 0.500 [2 per cell]
3 Mg 0.500 0.500 0.000 [1 per cell]
4 Tl 0.500 0.500 0.500 [1 per cell]

---

Compound: Ba2CaMg12Zn3
Source: the Alexandria database
Functional: PBE-GGA
Structure: relaxed

Properties
Energy, eV per formula unit: -25.363
Crystal system: trigonal
V, Å³/atom: 30.67

Lattice parameters (Å, degrees): 8.9851 8.9851 23.6855 90.00 90.00 120.00
Space group R-3m (No. 166, hexagonal axes)
Asymmetric unit:
1 Ba 0.0000 0.0000 0.0884 [6 per cell]
2 Ca 0.0000 0.0000 0.5000 [3 per cell]
3 Mg 0.0889 0.5444 0.8833 [18 per cell]
4 Mg 0.0974 0.5487 0.2819 [18 per cell]
5 Zn 0.0000 0.5000 0.0000 [9 per cell]

---

Compound: BaCaMg2Zn
Source: the Alexandria database
Functional: PBE-GGA
Structure: relaxed

Properties
Energy, eV per formula unit: -8.369
Crystal system: tetragonal
V, Å³/atom: 32.62

Lattice parameters (Å, degrees): 5.333 5.333 5.734 90.00 90.00 90.00
Space group P4/mmm (No. 123)
Asymmetric unit:
1 Ba 0.000 0.000 0.000 [1 per cell]
2 Ca 0.500 0.500 0.000 [1 per cell]
3 Mg 0.000 0.500 0.500 [2 per cell]
4 Zn 0.500 0.500 0.500 [1 per cell]

---

Compound: Ba2CaMgZn
Source: the Alexandria database
Functional: PBE-GGA
Structure: relaxed

Properties
Crystal system: tetragonal
V, Å³/atom: 47.16
Distance to the lowest polymorph of the same formula, meV per atom: 64

Lattice parameters (Å, degrees): 6.349 6.349 5.850 90.00 90.00 90.00
Space group P4/mmm (No. 123)
Asymmetric unit:
1 Ba 0.000 0.500 0.000 [2 per cell]
2 Ca 0.000 0.000 0.500 [1 per cell]
3 Mg 0.500 0.500 0.500 [1 per cell]
4 Zn 0.000 0.000 0.000 [1 per cell]

---

Compound: Ba2CaMgZn
Source: the Alexandria database
Functional: PBE-GGA
Structure: relaxed

Properties
Crystal system: tetragonal
V, Å³/atom: 43.92
Distance to the lowest polymorph of the same formula, meV per atom: 0

Lattice parameters (Å, degrees): 6.494 6.494 5.208 90.00 90.00 90.00
Space group P4/mmm (No. 123)
Asymmetric unit:
1 Ba 0.000 0.500 0.000 [2 per cell]
2 Ca 0.000 0.000 0.500 [1 per cell]
3 Mg 0.500 0.500 0.500 [1 per cell]
4 Zn 0.500 0.500 0.000 [1 per cell]

---

Compound: BaCa2Mn
Source: the Alexandria database
Functional: PBE-GGA
Structure: relaxed

Properties
Crystal system: tetragonal
V, Å³/atom: 40.54
Distance to the lowest polymorph of the same formula, meV per atom: 757

Lattice parameters (Å, degrees): 7.722 7.722 10.879 90.00 90.00 90.00
Space group I4_1/amd (No. 141, origin choice 2)
Asymmetric unit:
1 Ba 0.000 0.250 0.375 [4 per cell]
2 Ca 0.000 0.000 0.000 [8 per cell]
3 Mn 0.000 0.250 0.875 [4 per cell]

---

Compound: BaCaMn2
Source: the Alexandria database
Functional: PBE-GGA
Structure: relaxed

Properties
Crystal system: orthorhombic
V, Å³/atom: 29.00
Distance to the lowest polymorph of the same formula, meV per atom: 238

Lattice parameters (Å, degrees): 3.685 5.503 11.441 90.00 90.00 90.00
Space group Imm2 (No. 44)
Asymmetric unit:
1 Ba 0.000 0.000 0.000 [2 per cell]
2 Ca 0.000 0.500 0.796 [2 per cell]
3 Mn 0.000 0.000 0.564 [2 per cell]
4 Mn 0.000 0.500 0.237 [2 per cell]

---

Compound: BaCa2Mn
Source: the Alexandria database
Functional: PBE-GGA
Structure: relaxed

Properties
Crystal system: cubic
V, Å³/atom: 31.44
Distance to the lowest polymorph of the same formula, meV per atom: 604

Lattice parameters (Å, degrees): 7.953 7.953 7.953 90.00 90.00 90.00
Space group Fm-3m (No. 225)
Asymmetric unit:
1 Ba 0.000 0.000 0.000 [4 per cell]
2 Ca 0.250 0.250 0.250 [8 per cell]
3 Mn 0.000 0.000 0.500 [4 per cell]

---

Compound: BaCaMn2
Source: the Alexandria database
Functional: PBE-GGA
Structure: relaxed

Properties
Crystal system: orthorhombic
V, Å³/atom: 31.54
Distance to the lowest polymorph of the same formula, meV per atom: 197

Lattice parameters (Å, degrees): 4.633 4.260 12.786 90.00 90.00 90.00
Space group Amm2 (No. 38)
Asymmetric unit:
1 Ba 0.000 0.000 0.000 [2 per cell]
2 Ca 0.500 0.000 0.714 [2 per cell]
3 Mn 0.000 0.000 0.289 [2 per cell]
4 Mn 0.500 0.000 0.393 [2 per cell]

---

Compound: BaCaMn2
Source: the Alexandria database
Functional: PBE-GGA
Structure: relaxed

Properties
Crystal system: trigonal
V, Å³/atom: 31.08
Distance to the lowest polymorph of the same formula, meV per atom: 0

Lattice parameters (Å, degrees): 4.1032 4.1032 25.5769 90.00 90.00 120.00
Space group R3m (No. 160, hexagonal axes)
Asymmetric unit:
1 Ba 0.0000 0.0000 0.0000 [3 per cell]
2 Ca 0.0000 0.0000 0.1839 [3 per cell]
3 Mn 0.0000 0.0000 0.4354 [3 per cell]
4 Mn 0.0000 0.0000 0.7653 [3 per cell]

---

Compound: BaCaMn2
Source: the Alexandria database
Functional: PBE-GGA
Structure: relaxed

Properties
Crystal system: monoclinic
V, Å³/atom: 33.77
Distance to the lowest polymorph of the same formula, meV per atom: 266

Lattice parameters (Å, degrees): 9.983 4.757 6.660 90.00 121.33 90.00
Space group C2/m (No. 12)
Asymmetric unit:
1 Ba 0.000 0.000 0.000 [2 per cell]
2 Ca 0.000 0.500 0.500 [2 per cell]
3 Mn 0.226 0.000 0.585 [4 per cell]